Crystalline SrHfNiSb2 at its relaxed geometry, computed with PBE-GGA.

a = 5.7404 Å, b = 5.7404 Å, c = 5.4059 Å
α = 90.00°, β = 90.00°, γ = 90.00°
With the nearest neighbours (Å) after each atom.
Fractional positions:
Sr1 0.0000 0.0000 0.0000  2 Hf 2.70, 4 Sb 2.87
Hf1 0.0000 0.0000 0.5000  2 Sr 2.70
Ni1 0.5000 0.5000 0.5000  8 Sb 3.94, 4 Hf 4.06
Sb1 0.0000 0.5000 0.0000  2 Sr 2.87
Sb2 0.5000 0.0000 0.0000  2 Sr 2.87

space group: P4/mmm (123)
electronic total energy: -3.252 eV per atom
ΔE_f (raw): 43.37 kcal/mol of atoms